## 1
Pm2SmAg: relaxed, PBE.

N(E_F), states/eV/f.u.: 4.30

```
data_Pm2SmAg
_cell_length_a 7.0477
_cell_length_b 10.4719
_cell_length_c 6.6524
_cell_angle_alpha 90.00
_cell_angle_beta 90.00
_cell_angle_gamma 90.00
_space_group_name_H-M_alt 'P 1'
_space_group_IT_number 1
loop_
_space_group_symop_operation_xyz
'x,y,z'
loop_
_atom_site_label
_atom_site_fract_x
_atom_site_fract_y
_atom_site_fract_z
_atom_site_occupancy
Pm1 0.1948 0.0445 0.1746 1
Pm2 0.1948 0.4555 0.1746 1
Pm3 0.3052 0.5445 0.6746 1
Pm4 0.3052 0.9555 0.6746 1
Pm5 0.6948 0.0445 0.3254 1
Pm6 0.6948 0.4555 0.3254 1
Pm7 0.8052 0.5445 0.8254 1
Pm8 0.8052 0.9555 0.8254 1
Sm1 0.0076 0.2500 0.6257 1
Sm2 0.4924 0.7500 0.1257 1
Sm3 0.5076 0.2500 0.8743 1
Sm4 0.9924 0.7500 0.3743 1
Ag1 0.0979 0.7500 0.9265 1
Ag2 0.4021 0.2500 0.4265 1
Ag3 0.5979 0.7500 0.5735 1
Ag4 0.9021 0.2500 0.0735 1
```

=====

## 2
Pm2SmAg: relaxed, PBE.

N(E_F), states/eV/f.u.: 6.30

```
data_Pm2SmAg
_cell_length_a 3.6900
_cell_length_b 3.6900
_cell_length_c 8.8861
_cell_angle_alpha 90.00
_cell_angle_beta 90.00
_cell_angle_gamma 90.00
_space_group_name_H-M_alt 'P 1'
_space_group_IT_number 1
loop_
_space_group_symop_operation_xyz
'x,y,z'
loop_
_atom_site_label
_atom_site_fract_x
_atom_site_fract_y
_atom_site_fract_z
_atom_site_occupancy
Pm1 0.0000 0.0000 0.2144 1
Pm2 0.0000 0.0000 0.7856 1
Sm1 0.5000 0.5000 0.5000 1
Ag1 0.5000 0.5000 0.0000 1
```

=====

Least stable structure: 1

=====

## 1
PmSmAg3: relaxed, PBE.

N(E_F), states/eV/f.u.: 4.31

```
data_PmSmAg3
_cell_length_a 14.3159
_cell_length_b 14.3159
_cell_length_c 4.8252
_cell_angle_alpha 90.00
_cell_angle_beta 90.00
_cell_angle_gamma 165.58
_space_group_name_H-M_alt 'P 1'
_space_group_IT_number 1
loop_
_space_group_symop_operation_xyz
'x,y,z'
loop_
_atom_site_label
_atom_site_fract_x
_atom_site_fract_y
_atom_site_fract_z
_atom_site_occupancy
Pm1 0.0736 0.9264 0.7500 1
Pm2 0.9264 0.0736 0.2500 1
Sm1 0.2089 0.7911 0.2500 1
Sm2 0.7911 0.2089 0.7500 1
Ag1 0.3254 0.6746 0.2500 1
Ag2 0.3803 0.6197 0.7500 1
Ag3 0.4769 0.5231 0.7500 1
Ag4 0.5231 0.4769 0.2500 1
Ag5 0.6197 0.3803 0.2500 1
Ag6 0.6746 0.3254 0.7500 1
```

=====

## 2
PmSmAg3: relaxed, PBE.

N(E_F), states/eV/f.u.: 3.77

```
data_PmSmAg3
_cell_length_a 8.6961
_cell_length_b 8.6961
_cell_length_c 8.0798
_cell_angle_alpha 90.00
_cell_angle_beta 90.00
_cell_angle_gamma 54.44
_space_group_name_H-M_alt 'P 1'
_space_group_IT_number 1
loop_
_space_group_symop_operation_xyz
'x,y,z'
loop_
_atom_site_label
_atom_site_fract_x
_atom_site_fract_y
_atom_site_fract_z
_atom_site_occupancy
Pm1 0.0287 0.4219 0.2500 1
Pm2 0.4219 0.0287 0.7500 1
Pm3 0.5781 0.9713 0.2500 1
Pm4 0.9713 0.5781 0.7500 1
Sm1 0.1076 0.8924 0.7500 1
Sm2 0.4341 0.5659 0.2500 1
Sm3 0.5659 0.4341 0.7500 1
Sm4 0.8924 0.1076 0.2500 1
Ag1 0.0495 0.7288 0.0722 1
Ag2 0.0495 0.7288 0.4278 1
Ag3 0.2712 0.9505 0.0722 1
Ag4 0.2712 0.9505 0.4278 1
Ag5 0.3446 0.3446 0.0000 1
Ag6 0.3446 0.3446 0.5000 1
Ag7 0.6554 0.6554 0.0000 1
Ag8 0.6554 0.6554 0.5000 1
Ag9 0.7288 0.0495 0.5722 1
Ag10 0.7288 0.0495 0.9278 1
Ag11 0.9505 0.2712 0.5722 1
Ag12 0.9505 0.2712 0.9278 1
```

=====

Least stable structure: 2

=====

## 1
PmSm2Ag6: relaxed, PBE.

N(E_F), states/eV/f.u.: 7.37

```
data_PmSm2Ag6
_cell_length_a 8.6366
_cell_length_b 8.6366
_cell_length_c 8.6366
_cell_angle_alpha 155.97
_cell_angle_beta 124.76
_cell_angle_gamma 61.08
_space_group_name_H-M_alt 'P 1'
_space_group_IT_number 1
loop_
_space_group_symop_operation_xyz
'x,y,z'
loop_
_atom_site_label
_atom_site_fract_x
_atom_site_fract_y
_atom_site_fract_z
_atom_site_occupancy
Pm1 0.0000 0.0000 0.0000 1
Sm1 0.3590 0.8590 0.5000 1
Sm2 0.6410 0.1410 0.5000 1
Ag1 0.0041 0.3249 0.6792 1
Ag2 0.3189 0.5000 0.8189 1
Ag3 0.3543 0.6751 0.6792 1
Ag4 0.6457 0.3249 0.3208 1
Ag5 0.6811 0.5000 0.1811 1
Ag6 0.9959 0.6751 0.3208 1
```

=====

## 2
PmSm2Ag6: relaxed, PBE.

N(E_F), states/eV/f.u.: 6.75

```
data_PmSm2Ag6
_cell_length_a 8.3073
_cell_length_b 8.3073
_cell_length_c 3.5275
_cell_angle_alpha 90.00
_cell_angle_beta 90.00
_cell_angle_gamma 120.00
_space_group_name_H-M_alt 'P 1'
_space_group_IT_number 1
loop_
_space_group_symop_operation_xyz
'x,y,z'
loop_
_atom_site_label
_atom_site_fract_x
_atom_site_fract_y
_atom_site_fract_z
_atom_site_occupancy
Pm1 0.0000 0.0000 0.0000 1
Sm1 0.3333 0.6667 0.0000 1
Sm2 0.6667 0.3333 0.0000 1
Ag1 0.0000 0.3337 0.5000 1
Ag2 0.0000 0.6663 0.5000 1
Ag3 0.3337 0.0000 0.5000 1
Ag4 0.3337 0.3337 0.5000 1
Ag5 0.6663 0.0000 0.5000 1
Ag6 0.6663 0.6663 0.5000 1
```

=====

Least stable structure: 1

=====

## 1
PmSmAg2: relaxed, PBE.

N(E_F), states/eV/f.u.: 3.77

```
data_PmSmAg2
_cell_length_a 5.2673
_cell_length_b 5.2673
_cell_length_c 5.2673
_cell_angle_alpha 60.00
_cell_angle_beta 60.00
_cell_angle_gamma 60.00
_space_group_name_H-M_alt 'P 1'
_space_group_IT_number 1
loop_
_space_group_symop_operation_xyz
'x,y,z'
loop_
_atom_site_label
_atom_site_fract_x
_atom_site_fract_y
_atom_site_fract_z
_atom_site_occupancy
Pm1 0.0000 0.0000 0.0000 1
Sm1 0.5000 0.5000 0.5000 1
Ag1 0.2500 0.2500 0.2500 1
Ag2 0.7500 0.7500 0.7500 1
```

=====

## 2
PmSmAg2: relaxed, PBE.

N(E_F), states/eV/f.u.: 2.61

```
data_PmSmAg2
_cell_length_a 3.7211
_cell_length_b 3.7211
_cell_length_c 7.4423
_cell_angle_alpha 90.00
_cell_angle_beta 90.00
_cell_angle_gamma 90.00
_space_group_name_H-M_alt 'P 1'
_space_group_IT_number 1
loop_
_space_group_symop_operation_xyz
'x,y,z'
loop_
_atom_site_label
_atom_site_fract_x
_atom_site_fract_y
_atom_site_fract_z
_atom_site_occupancy
Pm1 0.0000 0.0000 0.0000 1
Sm1 0.0000 0.0000 0.5000 1
Ag1 0.5000 0.5000 0.2535 1
Ag2 0.5000 0.5000 0.7465 1
```

=====

Least stable structure: 1